[1]
Below is a relaxed Na3LiAs crystal, with properties calculated at the PBE level.

```
data_Na3LiAs
_chemical_formula_sum 'Na12 Li4 As4'
_space_group_name_H-M_alt 'I m a 2'
_space_group_IT_number 46
_space_group_name_Hall 'I 2 -2a'
_cell_length_a 10.7950
_cell_length_b 7.1730
_cell_length_c 6.5167
_cell_angle_alpha 90.00
_cell_angle_beta 90.00
_cell_angle_gamma 90.00
loop_
_atom_site_label
_atom_site_fract_x
_atom_site_fract_y
_atom_site_fract_z
Na1 0.0225 0.2474 0.0000
Na2 0.2500 0.0828 0.2549
Li1 0.2500 0.7502 0.0052
As1 0.2500 0.0127 0.7548
```

The calculation puts the formation energy at -0.2016 eV/atom. As for the spin magnetization: 0.002 μB per cell.


[2]
Below is a relaxed NaLi2As3 crystal, with properties calculated at the PBE level.

```
data_NaLi2As3
_chemical_formula_sum 'Na4 Li8 As12'
_space_group_name_H-M_alt 'C m c m'
_space_group_IT_number 63
_space_group_name_Hall '-C 2c 2'
_cell_length_a 10.2389
_cell_length_b 8.9251
_cell_length_c 5.7500
_cell_angle_alpha 90.00
_cell_angle_beta 90.00
_cell_angle_gamma 90.00
loop_
_atom_site_label
_atom_site_fract_x
_atom_site_fract_y
_atom_site_fract_z
Na1 0.0000 0.1953 0.2500
Li1 0.2018 0.5000 0.0000
As1 0.0000 0.3556 0.7500
As2 0.2153 0.2323 0.7500
```

The calculation puts the formation energy at -0.3584 eV/atom. As for the spin magnetization: 0.000 μB per cell.


[3]
Below is a relaxed NaLiAs crystal, with properties calculated at the PBE level.

```
data_NaLiAs
_chemical_formula_sum 'Na2 Li2 As2'
_space_group_name_H-M_alt 'I 4 m m'
_space_group_IT_number 107
_space_group_name_Hall 'I 4 -2'
_cell_length_a 3.5871
_cell_length_b 3.5871
_cell_length_c 9.5348
_cell_angle_alpha 90.00
_cell_angle_beta 90.00
_cell_angle_gamma 90.00
loop_
_atom_site_label
_atom_site_fract_x
_atom_site_fract_y
_atom_site_fract_z
Na1 0.0000 0.0000 0.0000
Li1 0.0000 0.0000 0.2888
As1 0.0000 0.0000 0.6852
```

The calculation puts the formation energy at -0.3532 eV/atom. As for the spin magnetization: 0.000 μB per cell.


[4]
Below is a relaxed NaLiAs crystal, with properties calculated at the PBE level.

```
data_NaLiAs
_chemical_formula_sum 'Na2 Li2 As2'
_space_group_name_H-M_alt 'P -6 m 2'
_space_group_IT_number 187
_space_group_name_Hall 'P -6 2'
_cell_length_a 4.9202
_cell_length_b 4.9202
_cell_length_c 7.3412
_cell_angle_alpha 90.00
_cell_angle_beta 90.00
_cell_angle_gamma 120.00
loop_
_atom_site_label
_atom_site_fract_x
_atom_site_fract_y
_atom_site_fract_z
Na1 0.0000 0.0000 0.2443
Li1 0.3333 0.6667 0.5000
Li2 0.6667 0.3333 0.0000
As1 0.3333 0.6667 0.1702
```

The calculation puts the formation energy at -0.2568 eV/atom. As for the spin magnetization: 0.000 μB per cell.


[5]
Below is a relaxed NaLi3As crystal, with properties calculated at the PBE level.

```
data_NaLi3As
_chemical_formula_sum 'Na1 Li3 As1'
_space_group_name_H-M_alt 'P m -3 m'
_space_group_IT_number 221
_space_group_name_Hall '-P 4 2 3'
_cell_length_a 4.9091
_cell_length_b 4.9091
_cell_length_c 4.9091
_cell_angle_alpha 90.00
_cell_angle_beta 90.00
_cell_angle_gamma 90.00
loop_
_atom_site_label
_atom_site_fract_x
_atom_site_fract_y
_atom_site_fract_z
Na1 0.0000 0.0000 0.0000
Li1 0.0000 0.5000 0.5000
As1 0.5000 0.5000 0.5000
```

The calculation puts the formation energy at -0.3710 eV/atom. As for the spin magnetization: 0.000 μB per cell.


[6]
Below is a relaxed NaLi2NdAs2 crystal, with properties calculated at the PBE level.

```
data_NaLi2NdAs2
_chemical_formula_sum 'Na1 Li2 Nd1 As2'
_space_group_name_H-M_alt 'P -3 m 1'
_space_group_IT_number 164
_space_group_name_Hall '-P 3 2"'
_cell_length_a 4.4029
_cell_length_b 4.4029
_cell_length_c 7.2188
_cell_angle_alpha 90.00
_cell_angle_beta 90.00
_cell_angle_gamma 120.00
loop_
_atom_site_label
_atom_site_fract_x
_atom_site_fract_y
_atom_site_fract_z
Na1 0.0000 0.0000 0.0000
Li1 0.3333 0.6667 0.1661
Nd1 0.0000 0.0000 0.5000
As1 0.3333 0.6667 0.7455
```

The calculation puts the formation energy at -0.9165 eV/atom. As for the spin magnetization: 0.000 μB per cell.


[7]
Below is a relaxed NaLiNiAs2 crystal, with properties calculated at the PBE level.

```
data_NaLiNiAs2
_chemical_formula_sum 'Na1 Li1 Ni1 As2'
_space_group_name_H-M_alt 'P 4/m m m'
_space_group_IT_number 123
_space_group_name_Hall '-P 4 2'
_cell_length_a 4.6116
_cell_length_b 4.6116
_cell_length_c 4.6816
_cell_angle_alpha 90.00
_cell_angle_beta 90.00
_cell_angle_gamma 90.00
loop_
_atom_site_label
_atom_site_fract_x
_atom_site_fract_y
_atom_site_fract_z
Na1 0.0000 0.0000 0.0000
Li1 0.5000 0.5000 0.0000
Ni1 0.5000 0.5000 0.5000
As1 0.0000 0.5000 0.5000
```

The calculation puts the formation energy at -0.1499 eV/atom. As for the spin magnetization: 0.000 μB per cell.


[8]
Below is a relaxed NaLiNiAs2 crystal, with properties calculated at the PBE level.

```
data_NaLiNiAs2
_chemical_formula_sum 'Na1 Li1 Ni1 As2'
_space_group_name_H-M_alt 'P 4/m m m'
_space_group_IT_number 123
_space_group_name_Hall '-P 4 2'
_cell_length_a 4.9886
_cell_length_b 4.9886
_cell_length_c 4.5665
_cell_angle_alpha 90.00
_cell_angle_beta 90.00
_cell_angle_gamma 90.00
loop_
_atom_site_label
_atom_site_fract_x
_atom_site_fract_y
_atom_site_fract_z
Na1 0.0000 0.0000 0.0000
Li1 0.5000 0.5000 0.5000
Ni1 0.0000 0.0000 0.5000
As1 0.0000 0.5000 0.0000
```

The calculation puts the formation energy at 0.9075 eV/atom. As for the spin magnetization: 0.000 μB per cell.


[9]
Below is a relaxed NaLiAsO4 crystal, with properties calculated at the PBE level.

```
data_NaLiAsO4
_chemical_formula_sum 'Na2 Li2 As2 O8'
_space_group_name_H-M_alt 'I -4'
_space_group_IT_number 82
_space_group_name_Hall 'I -4'
_cell_length_a 5.2258
_cell_length_b 5.2258
_cell_length_c 7.3492
_cell_angle_alpha 90.00
_cell_angle_beta 90.00
_cell_angle_gamma 90.00
loop_
_atom_site_label
_atom_site_fract_x
_atom_site_fract_y
_atom_site_fract_z
Na1 0.0000 0.0000 0.0000
Li1 0.0000 0.5000 0.7500
As1 0.0000 0.0000 0.5000
O1 0.1678 0.2190 0.6278
```

The value obtained for the formation energy from raw total energies is -31.9 kcal/mol of atoms. As for the spin magnetization: 2.027 μB per cell.


[10]
Below is a relaxed NaLiAs2O6 crystal, with properties calculated at the PBE level.

```
data_NaLiAs2O6
_chemical_formula_sum 'Na4 Li4 As8 O24'
_space_group_name_H-M_alt 'C 1 2/c 1'
_space_group_IT_number 15
_space_group_name_Hall '-C 2yc'
_cell_length_a 10.5054
_cell_length_b 10.1796
_cell_length_c 5.3991
_cell_angle_alpha 90.00
_cell_angle_beta 108.44
_cell_angle_gamma 90.00
loop_
_atom_site_label
_atom_site_fract_x
_atom_site_fract_y
_atom_site_fract_z
Na1 0.0000 0.1058 0.2500
Li1 0.0000 0.2213 0.7500
As1 0.2049 0.4097 0.2087
O1 0.1201 0.2716 0.1001
O2 0.1269 0.0876 0.6823
O3 0.1422 0.4638 0.4667
```

The value obtained for the formation energy from raw total energies is -34.5 kcal/mol of atoms. As for the spin magnetization: 0.000 μB per cell.


[11]
Below is a relaxed Na2LiAsO4 crystal, with properties calculated at the PBE level.

```
data_Na2LiAsO4
_chemical_formula_sum 'Na4 Li2 As2 O8'
_space_group_name_H-M_alt 'I -4 2 m'
_space_group_IT_number 121
_space_group_name_Hall 'I -4 2'
_cell_length_a 5.9890
_cell_length_b 5.9890
_cell_length_c 5.4154
_cell_angle_alpha 90.00
_cell_angle_beta 90.00
_cell_angle_gamma 90.00
loop_
_atom_site_label
_atom_site_fract_x
_atom_site_fract_y
_atom_site_fract_z
Na1 0.0000 0.5000 0.0000
Li1 0.0000 0.0000 0.0000
As1 0.0000 0.0000 0.5000
O1 0.1606 0.1606 0.3012
```

The value obtained for the formation energy from raw total energies is -37.8 kcal/mol of atoms. As for the spin magnetization: 0.000 μB per cell.


[12]
Below is a relaxed Na2Li2AsO6 crystal, with properties calculated at the PBE level.

```
data_Na2Li2AsO6
_chemical_formula_sum 'Na2 Li2 As1 O6'
_space_group_name_H-M_alt 'P -3 1 m'
_space_group_IT_number 162
_space_group_name_Hall '-P 3 2'
_cell_length_a 5.1274
_cell_length_b 5.1274
_cell_length_c 5.3853
_cell_angle_alpha 90.00
_cell_angle_beta 90.00
_cell_angle_gamma 120.00
loop_
_atom_site_label
_atom_site_fract_x
_atom_site_fract_y
_atom_site_fract_z
Na1 0.3333 0.6667 0.0000
Li1 0.3333 0.6667 0.5000
As1 0.0000 0.0000 0.5000
O1 0.0000 0.2952 0.3058
```

The value obtained for the formation energy from raw total energies is -28.2 kcal/mol of atoms. As for the spin magnetization: 3.002 μB per cell.